w | Material: YP3Os
Method: DFT, GGA-PBE
State: relaxed

a = 4.6590 Å, b = 4.6590 Å, c = 4.6590 Å
α = 90.00°, β = 90.00°, γ = 90.00°
With the nearest neighbours (Å) after each atom.
Fractional coordinates of all 5 atoms:
P 0.0000 0.0000 0.5000  2 Os 2.33
P 0.0000 0.5000 0.0000  2 Os 2.33
P 0.5000 0.0000 0.0000  2 Os 2.33
Y 0.5000 0.5000 0.5000  12 P 3.29
Os 0.0000 0.0000 0.0000  6 P 2.33

## Properties
space-group type	No. 221
total magnetization	0.0	μB per formula unit

***

x | Material: YP3Os
Method: DFT, GGA-PBE
State: relaxed

a = 5.0312 Å, b = 5.0312 Å, c = 5.0312 Å
α = 90.00°, β = 90.00°, γ = 90.00°
With the nearest neighbours (Å) after each atom.
Fractional coordinates of all 5 atoms:
P 0.5000 0.0000 0.0000  2 Y 2.52
P 0.0000 0.5000 0.0000  2 Y 2.52
P 0.0000 0.0000 0.5000  2 Y 2.52
Os 0.5000 0.5000 0.5000  12 P 3.56
Y 0.0000 0.0000 0.0000  6 P 2.52

## Properties
space-group type	No. 221
total magnetization	0.0	μB per formula unit

***

Pick the least stable structure from those above. Pick: x